# 1
The following is a DFT calculation (PBE) of a relaxed structure of Tm2SBr2.

Unit cell a=3.903 b=3.903 c=11.070 alpha=101.32 beta=101.32 gamma=60.03
Sites, in units of the cell vectors:
Tm: 0.215 0.215 0.130
Tm: 0.785 0.785 0.870
S: 0.500 0.500 0.000
Br: 0.056 0.056 0.701
Br: 0.944 0.944 0.299

Properties
space group = C2/m
VASP energy = -25.4 eV per cell

***

# 2
The following is a DFT calculation (PBE) of a relaxed structure of NaCuB2Ru.

Unit cell a=4.010 b=4.010 c=5.212 alpha=90.00 beta=90.00 gamma=90.00
Sites, in units of the cell vectors:
Na: 0.000 0.000 0.000
Cu: 0.500 0.500 0.000
B: 0.000 0.500 0.500
B: 0.500 0.000 0.500
Ru: 0.000 0.000 0.500

Properties
space group = P4/mmm
calculated formation energy = 1.171 eV per atom

***

# 3
The following is a DFT calculation (PBE) of a relaxed structure of Hg2OsSe.

Unit cell a=2.846 b=2.846 c=12.202 alpha=90.00 beta=90.00 gamma=120.18
Sites, in units of the cell vectors:
Hg: 0.000 0.000 0.215
Hg: 0.000 0.000 0.785
Os: 0.500 0.500 0.000
Se: 0.500 0.500 0.500

Properties
space group = Cmmm
VASP energy = -12.2 eV per cell

***

# 4
The following is a DFT calculation (PBE) of a relaxed structure of Ir3CO.

Unit cell a=4.050 b=4.050 c=4.050 alpha=90.00 beta=90.00 gamma=90.00
Sites, in units of the cell vectors:
Ir: 0.000 0.000 0.500
Ir: 0.000 0.500 0.000
Ir: 0.500 0.000 0.000
C: 0.000 0.000 0.000
O: 0.500 0.500 0.500

Properties
energy above the lowest structure with this stoichiometry = 0.00 eV/f.u.
space group = Pm-3m

***

# 5
The following is a DFT calculation (PBE) of a relaxed structure of CsLaAg2Br6.

Unit cell a=10.099 b=10.099 c=9.525 alpha=109.04 beta=109.04 gamma=77.40
Sites, in units of the cell vectors:
Cs: 0.191 0.809 0.750
Cs: 0.809 0.191 0.250
La: 0.252 0.748 0.250
La: 0.748 0.252 0.750
Ag: 0.125 0.408 0.074
Ag: 0.408 0.125 0.574
Ag: 0.592 0.875 0.426
Ag: 0.875 0.592 0.926
Br: 0.020 0.170 0.974
Br: 0.091 0.593 0.341
Br: 0.170 0.020 0.474
Br: 0.304 0.504 0.994
Br: 0.407 0.909 0.159
Br: 0.496 0.696 0.506
Br: 0.504 0.304 0.494
Br: 0.593 0.091 0.841
Br: 0.696 0.496 0.006
Br: 0.830 0.980 0.526
Br: 0.909 0.407 0.659
Br: 0.980 0.830 0.026

Properties
space group = C2/c
VASP energy = -68.8 eV per cell

***

# 6
The following is a DFT calculation (PBE) of a relaxed structure of AcDyTmTe3.

Unit cell a=8.730 b=4.392 c=10.899 alpha=90.00 beta=107.14 gamma=90.00
Sites, in units of the cell vectors:
Ac: 0.192 0.250 0.221
Ac: 0.808 0.750 0.779
Dy: 0.339 0.750 0.906
Dy: 0.661 0.250 0.094
Tm: 0.150 0.250 0.625
Tm: 0.850 0.750 0.375
Te: 0.097 0.250 0.894
Te: 0.221 0.750 0.463
Te: 0.490 0.750 0.204
Te: 0.510 0.250 0.796
Te: 0.779 0.250 0.537
Te: 0.903 0.750 0.106

Properties
space group = P2_1/m
VASP energy = -60.1 eV per cell

***

no.,density of states at the Fermi level (states/eV per cell),density (kg/m³),total magnetization (Bohr magnetons per cell)
1,0.71,6181,0.0
2,4.05,4146,0.0
3,2.50,13025,0.4
4,4.80,15111,2.3
5,0.00,3728,0.0
6,8.81,7827,0.0